1.
Material: CdCoF2
Method: DFT, GGA-PBEsol
State: relaxed

The calculation puts the uncorrected formation energy at -1036 meV/atom. Its uncorrected energy is -4.233 eV per atom.

The structure belongs to space group R-3m (No. 166, hexagonal axes); the cell edges are 2.8407, 2.8407 and 23.7121 Å and the angles 90.00°, 90.00° and 120.00°. Symmetry generates all atoms from Cd at (0.0000, 0.0000, 0.0000), Co at (0.0000, 0.0000, 0.5000) and F at (0.0000, 0.0000, 0.4257).

=====

2.
Material: Cd2Co2F
Method: DFT, GGA-PBEsol
State: relaxed

The calculation puts the uncorrected formation energy at -157 meV/atom. Its uncorrected energy is -4.117 eV per atom.

The structure belongs to space group I4/mmm (No. 139); the cell edges are 3.206, 3.206 and 14.825 Å and the angles 90.00°, 90.00° and 90.00°. Symmetry generates all atoms from Cd at (0.000, 0.000, 0.102), Co at (0.000, 0.500, 0.250) and F at (0.000, 0.000, 0.500).

=====

3.
Material: HfCdCo2F
Method: DFT, GGA-PBEsol
State: relaxed

The calculation puts the uncorrected formation energy at 1432 meV/atom. Its uncorrected energy is -4.388 eV per atom.

The structure belongs to space group P4/mmm (No. 123); the cell edges are 4.600, 4.600 and 5.210 Å and the angles 90.00°, 90.00° and 90.00°. Symmetry generates all atoms from Hf at (0.000, 0.000, 0.000), Cd at (0.000, 0.000, 0.500), Co at (0.000, 0.500, 0.500) and F at (0.500, 0.500, 0.000).

=====

4.
Material: CdCo2OF
Method: DFT, GGA-PBEsol
State: relaxed

The calculation puts the uncorrected formation energy at 230 meV/atom. Its uncorrected energy is -4.540 eV per atom.

The structure belongs to space group P4/mmm (No. 123); the cell edges are 3.630, 3.630 and 4.875 Å and the angles 90.00°, 90.00° and 90.00°. Symmetry generates all atoms from Cd at (0.000, 0.000, 0.000), Co at (0.000, 0.500, 0.500), O at (0.500, 0.500, 0.000) and F at (0.500, 0.500, 0.500).

=====

5.
Material: CdCoRu2F
Method: DFT, GGA-PBEsol
State: relaxed

The calculation puts the uncorrected formation energy at 956 meV/atom. Its uncorrected energy is -5.285 eV per atom.

The structure belongs to space group P4/mmm (No. 123); the cell edges are 4.020, 4.020 and 4.571 Å and the angles 90.00°, 90.00° and 90.00°. Symmetry generates all atoms from Cd at (0.000, 0.000, 0.000), Co at (0.500, 0.500, 0.000), Ru at (0.000, 0.500, 0.500) and F at (0.000, 0.000, 0.500).

=====

6.
Material: TaCdCo2F
Method: DFT, GGA-PBEsol
State: relaxed

The calculation puts the uncorrected formation energy at 363 meV/atom. Its uncorrected energy is -5.867 eV per atom.

The structure belongs to space group P4/mmm (No. 123); the cell edges are 4.135, 4.135 and 4.056 Å and the angles 90.00°, 90.00° and 90.00°. Symmetry generates all atoms from Ta at (0.000, 0.000, 0.000), Cd at (0.500, 0.500, 0.000), Co at (0.000, 0.500, 0.500) and F at (0.000, 0.000, 0.500).

=====

7.
Material: CdFe2Co
Method: DFT, GGA-PBEsol
State: relaxed

Its uncorrected energy is -6.379 eV per atom. The formation energy comes out at 0.34 eV/atom.

The structure belongs to space group I-4m2 (No. 119); the cell edges are 3.773, 3.773 and 7.199 Å and the angles 90.00°, 90.00° and 90.00°. Symmetry generates all atoms from Cd at (0.000, 0.000, 0.000), Fe at (0.000, 0.000, 0.500), Fe at (0.000, 0.500, 0.750) and Co at (0.000, 0.500, 0.250).

=====

8.
Material: CdFe2Co
Method: DFT, GGA-PBEsol
State: relaxed

Its uncorrected energy is -6.406 eV per atom. The formation energy comes out at 0.31 eV/atom.

The structure belongs to space group P4/mmm (No. 123); the cell edges are 3.675, 3.675 and 3.808 Å and the angles 90.00°, 90.00° and 90.00°. Symmetry generates all atoms from Cd at (0.000, 0.000, 0.000), Fe at (0.000, 0.500, 0.500) and Co at (0.500, 0.500, 0.000).

=====

9.
Material: Cd3FeCo
Method: DFT, GGA-PBEsol
State: relaxed

Its uncorrected energy is -2.810 eV per atom. The formation energy comes out at 1.25 eV/atom.

The structure belongs to space group Pm-3m (No. 221); the cell edges are 4.813, 4.813 and 4.813 Å and the angles 90.00°, 90.00° and 90.00°. Symmetry generates all atoms from Cd at (0.000, 0.000, 0.500), Fe at (0.000, 0.000, 0.000) and Co at (0.500, 0.500, 0.500).

=====

10.
Material: CdFeCo
Method: DFT, GGA-PBEsol
State: relaxed

The energy above the most stable polymorph in this dataset is 0 meV/atom. Its uncorrected energy is -5.647 eV per atom. The formation energy comes out at 0.32 eV/atom.

The structure belongs to space group P3m1 (No. 156); the cell edges are 4.1761, 4.1761 and 2.6805 Å and the angles 90.00°, 90.00° and 120.00°. Symmetry generates all atoms from Cd at (0.0000, 0.0000, 0.0000), Fe at (0.6667, 0.3333, 0.5770) and Co at (0.3333, 0.6667, 0.4186).

=====

11.
Material: CdFeCo2
Method: DFT, GGA-PBEsol
State: relaxed

Its uncorrected energy is -6.122 eV per atom. The formation energy comes out at 0.29 eV/atom.

The structure belongs to space group Cmmm (No. 65); the cell edges are 2.951, 4.255 and 8.234 Å and the angles 90.00°, 90.00° and 90.00°. Symmetry generates all atoms from Cd at (0.000, 0.000, 0.000), Fe at (0.000, 0.000, 0.500) and Co at (0.000, 0.500, 0.278).

=====

12.
Material: CdFe2Co
Method: DFT, GGA-PBEsol
State: relaxed

Its uncorrected energy is -6.399 eV per atom. The formation energy comes out at 0.32 eV/atom.

The structure belongs to space group I4/mmm (No. 139); the cell edges are 3.698, 3.698 and 7.525 Å and the angles 90.00°, 90.00° and 90.00°. Symmetry generates all atoms from Cd at (0.000, 0.000, 0.000), Fe at (0.000, 0.500, 0.250) and Co at (0.000, 0.000, 0.500).

=====

13.
Material: CdFe2Co
Method: DFT, GGA-PBEsol
State: relaxed

Its uncorrected energy is -6.516 eV per atom. The formation energy comes out at 0.20 eV/atom.

The structure belongs to space group P4mm (No. 99); the cell edges are 2.944, 2.944 and 5.969 Å and the angles 90.00°, 90.00° and 90.00°. Symmetry generates all atoms from Cd at (0.000, 0.000, 0.000), Fe at (0.000, 0.000, 0.492), Fe at (0.500, 0.500, 0.701) and Co at (0.500, 0.500, 0.292).

=====

14.
Material: CdFeCo
Method: DFT, GGA-PBEsol
State: relaxed

The energy above the most stable polymorph in this dataset is 358 meV/atom. Its uncorrected energy is -5.290 eV per atom. The formation energy comes out at 0.68 eV/atom.

The structure belongs to space group F-43m (No. 216); the cell edges are 5.733, 5.733 and 5.733 Å and the angles 90.00°, 90.00° and 90.00°. Symmetry generates all atoms from Cd at (0.000, 0.000, 0.000), Fe at (0.000, 0.000, 0.500) and Co at (0.250, 0.250, 0.750).

=====

15.
Material: Cd2FeCo
Method: DFT, GGA-PBEsol
State: relaxed

Its uncorrected energy is -4.498 eV per atom. The formation energy comes out at 0.28 eV/atom.

The structure belongs to space group Imm2 (No. 44); the cell edges are 3.014, 4.517 and 8.893 Å and the angles 90.00°, 90.00° and 90.00°. Symmetry generates all atoms from Cd at (0.000, 0.000, 0.000), Cd at (0.000, 0.500, 0.219), Fe at (0.000, 0.500, 0.768) and Co at (0.000, 0.000, 0.459).